(1)
# Li3Dy2NpS6, optimized geometry, DFT PBE
# VASP energy in eV/atom: -6.055
# E_form (uncorrected) in meV/atom: -1667
# SG: C2/m (12)
# M_tot in Bohr magnetons per cell: 4.0
data_Li3Dy2NpS6
_chemical_formula_sum 'Li3 Dy2 Np1 S6'
_symmetry_space_group_name_H-M 'P 1'
_symmetry_Int_Tables_number 1
_symmetry_space_group_name_Hall 'P 1'
_cell_length_a 6.808
_cell_length_b 6.808
_cell_length_c 6.572
_cell_angle_alpha 99.93
_cell_angle_beta 99.93
_cell_angle_gamma 120.00
loop_
_atom_site_label
_atom_site_type_symbol
_atom_site_fract_x
_atom_site_fract_y
_atom_site_fract_z
Li1 Li 0.000 0.000 0.000
Li2 Li 0.332 0.668 0.000
Li3 Li 0.668 0.332 0.000
Dy1 Dy 0.167 0.833 0.500
Dy2 Dy 0.833 0.167 0.500
Np1 Np 0.500 0.500 0.500
S1 S 0.080 0.416 0.248
S2 S 0.248 0.248 0.752
S3 S 0.416 0.080 0.248
S4 S 0.584 0.920 0.752
S5 S 0.752 0.752 0.248
S6 S 0.920 0.584 0.752

***

(2)
# LaYAs2, optimized geometry, DFT PBE
# VASP energy in eV/atom: -6.358
# Energy of formation from the pure elements in meV/atom: -1185
# SG: Cmmm (65)
# M_tot in Bohr magnetons per cell: 0.0
data_LaYAs2
_chemical_formula_sum 'La1 Y1 As2'
_symmetry_space_group_name_H-M 'P 1'
_symmetry_Int_Tables_number 1
_symmetry_space_group_name_Hall 'P 1'
_cell_length_a 3.684
_cell_length_b 3.684
_cell_length_c 7.665
_cell_angle_alpha 90.00
_cell_angle_beta 90.00
_cell_angle_gamma 103.15
loop_
_atom_site_label
_atom_site_type_symbol
_atom_site_fract_x
_atom_site_fract_y
_atom_site_fract_z
La1 La 0.000 0.000 0.000
Y1 Y 0.000 0.000 0.500
As1 As 0.500 0.500 0.261
As2 As 0.500 0.500 0.739

***

(3)
# CrOs3, optimized geometry, DFT PBE
# VASP energy in eV/atom: -10.670
# Energy of formation from the pure elements in meV/atom: 158
# SG: R-3m (166)
# M_tot in Bohr magnetons per cell: 0.0
data_CrOs3
_chemical_formula_sum 'Cr1 Os3'
_symmetry_space_group_name_H-M 'P 1'
_symmetry_Int_Tables_number 1
_symmetry_space_group_name_Hall 'P 1'
_cell_length_a 8.856
_cell_length_b 8.856
_cell_length_c 8.856
_cell_angle_alpha 17.59
_cell_angle_beta 17.59
_cell_angle_gamma 17.59
loop_
_atom_site_label
_atom_site_type_symbol
_atom_site_fract_x
_atom_site_fract_y
_atom_site_fract_z
Cr1 Cr 0.000 0.000 0.000
Os1 Os 0.253 0.253 0.253
Os2 Os 0.500 0.500 0.500
Os3 Os 0.747 0.747 0.747